ZnCrN2F | PBE+U | relaxed Values from VASP.

E_tot in eV for the cell shown: -26.49
SG: P4/mmm, No. 123
D(E_F) in states/eV per atom: 0.345

Cell and atoms, written as Quantum ESPRESSO input:
```
&SYSTEM
  ibrav = 0, nat = 5, ntyp = 4
/
ATOMIC_SPECIES
Zn 65.41 Zn.upf
Cr 52.00 Cr.upf
N 14.01 N.upf
F 19.00 F.upf
ATOMIC_POSITIONS crystal
Zn 0.000 0.000 0.000
Cr 0.500 0.500 0.500
N 0.000 0.500 0.500
N 0.500 0.000 0.500
F 0.500 0.500 0.000
CELL_PARAMETERS angstrom
3.872 0.000 0.000
0.000 3.872 0.000
0.000 0.000 3.855
```